This record from OQMD via LeMat-Bulk describes an optimized crystal structure of LiCuPd. The functional is PBE.

Unit cell a=3.901 b=3.901 c=3.901 alpha=60.00 beta=60.00 gamma=60.00
Element x y z (fractional)
1 Li 0.000 0.000 0.000
2 Cu 0.750 0.750 0.750
3 Pd 0.250 0.250 0.250

Values from the calculation:
Its total DFT energy (no corrections) is -3.523 eV per atom. Its space-group type is No. 216.